Here is Sr2La2Pb after structural relaxation from the Alexandria database. Energies are from PBE. Values from VASP.

The structure in Quantum ESPRESSO input format:
```
&SYSTEM
  ibrav = 0, nat = 10, ntyp = 3
/
ATOMIC_SPECIES
Sr 87.62 Sr.upf
La 138.91 La.upf
Pb 207.20 Pb.upf
ATOMIC_POSITIONS angstrom
Sr 1.457 2.742 0.000
Sr 2.742 6.941 0.000
Sr 5.655 1.457 0.000
Sr 6.941 5.655 0.000
La 1.102 5.301 2.985
La 3.097 1.102 2.985
La 5.301 7.295 2.985
La 7.295 3.097 2.985
Pb 0.000 0.000 2.985
Pb 4.199 4.199 2.985
CELL_PARAMETERS angstrom
8.397 0.000 0.000
0.000 8.397 0.000
0.000 0.000 5.971
```

Calculated values
Density (g cm⁻³): 5.2
Formation energy from the elements (eV per atom): -0.031
Space-group type: P4/mbm, No. 127